The following is a DFT calculation (PBE) of a relaxed structure of Rb2GaAsBr.

a b c (Å): 6.340 6.340 5.721
angles (deg): 90.00 90.00 90.00
Space group P4/mmm (No. 123)
One atom of each set of equivalent atoms:
Rb: 0.000 0.500 0.000 (multiplicity 2)
Ga: 0.000 0.000 0.500 (multiplicity 1)
As: 0.500 0.500 0.500 (multiplicity 1)
Br: 0.000 0.000 0.000 (multiplicity 1)

As for the raw formation energy: -16.6 kJ per mole of atoms.